The following is a GGA-PBE calculation of a geometry-optimized Tl5Cd6 structure, from Alexandria.

Calculated values
The calculation puts the calculated volume at 27.690 Å³ per atom. Its formation energy is 1.36 kcal/mol of atoms.

Geometry as CIF:
```
data_Tl5Cd6
_chemical_formula_sum 'Tl10 Cd12'
_cell_length_a 7.814
_cell_length_b 13.625
_cell_length_c 6.044
_cell_angle_alpha 90.00
_cell_angle_beta 108.79
_cell_angle_gamma 90.00
_symmetry_space_group_name_H-M 'C 1 2/m 1'
_symmetry_Int_Tables_number 12
loop_
_symmetry_equiv_pos_as_xyz
'x,y,z'
'-x,-y,-z'
'-x,y,-z'
'x,-y,z'
'x+1/2,y+1/2,z'
'-x+1/2,-y+1/2,-z'
'-x+1/2,y+1/2,-z'
'x+1/2,-y+1/2,z'
loop_
_atom_site_label
_atom_site_type_symbol
_atom_site_fract_x
_atom_site_fract_y
_atom_site_fract_z
_atom_site_occupancy
Tl1 Tl 0.000 0.000 0.000 1
Tl2 Tl 0.000 0.151 0.500 1
Tl3 Tl 0.000 0.264 0.000 1
Cd1 Cd 0.166 0.500 0.225 1
Cd2 Cd 0.171 0.382 0.691 1
```